No. 1
A PBEsol-optimized structure of Mn2CuO4. Source: Alexandria, functional SCAN.

Unit cell a=5.7350 b=5.7350 c=14.5009 alpha=90.00 beta=90.00 gamma=120.00
Each line ends with the local moment (μB).
Atoms (fractional coordinates):
O: 0.8465 0.1535 0.4731  0.01
O: 0.3333 0.6667 0.4738  0.02
O: 0.9730 0.4865 0.1359  0.02
O: 0.4821 0.5179 0.6225  0.04
O: 0.6918 0.8459 0.2828  0.00
O: 0.3333 0.6667 0.9424  0.04
O: 0.6667 0.3333 0.2811  0.03
O: 0.8223 0.1777 0.9438  0.03
O: 0.8223 0.6446 0.9438  0.03
O: 0.1846 0.8154 0.7932  0.05
O: 0.8465 0.6929 0.4731  0.01
O: 0.6667 0.3333 0.8021  0.02
O: 0.1541 0.3082 0.2828  0.00
O: 0.3071 0.1535 0.4731  0.01
O: 0.5135 0.0270 0.1359  0.02
O: 0.3554 0.1777 0.9438  0.03
O: 0.0000 0.0000 0.6151  0.03
O: 0.0358 0.5179 0.6225  0.04
O: 0.4821 0.9642 0.6225  0.04
O: 0.1846 0.3692 0.7932  0.05
O: 0.0000 0.0000 0.1373  0.01
O: 0.5135 0.4865 0.1359  0.02
O: 0.1541 0.8459 0.2828  0.00
O: 0.6308 0.8154 0.7932  0.05
Mn: 0.0016 0.5008 0.8706  2.47
Mn: 0.6700 0.8350 0.5450  2.47
Mn: 0.1650 0.3300 0.5450  2.47
Mn: 0.1650 0.8350 0.5450  2.47
Mn: 0.4992 0.9984 0.8706  2.47
Mn: 0.3333 0.6667 0.3354  4.29
Mn: 0.8310 0.6619 0.2083  2.60
Mn: 0.3333 0.6667 0.7072  2.44
Mn: 0.0000 0.0000 0.0003  4.31
Mn: 0.4992 0.5008 0.8706  2.47
Mn: 0.8310 0.1690 0.2083  2.60
Mn: 0.3381 0.1690 0.2083  2.60
Cu: 0.6667 0.3333 0.6678  0.08
Cu: 0.0000 0.0000 0.3768  -0.48
Cu: 0.3333 0.6667 0.0800  0.04
Cu: 0.6667 0.3333 0.4178  0.03
Cu: 0.0000 0.0000 0.7487  0.08
Cu: 0.6667 0.3333 0.0391  -0.40

## Properties
Crystal system   trigonal
ΔE to the lowest computed polymorph   0.0390 eV/atom
E_form (uncorrected)   -1.754 eV/atom
DFT total energy   -12.702 eV/atom
ρ   5.7 g cm⁻³

=====

No. 2
A PBEsol-optimized structure of BeInPt3. Source: Alexandria, functional SCAN.

Unit cell a=4.8354 b=4.8354 c=4.8354 alpha=90.00 beta=90.00 gamma=90.00
Atoms (fractional coordinates):
Be: 0.5000 0.5000 0.5000
Pt: 0.0000 0.5000 0.0000
Pt: 0.0000 0.0000 0.5000
Pt: 0.5000 0.0000 0.0000
In: 0.0000 0.0000 0.0000

## Properties
Energy relative to the elements   147.34 kJ per mole of atoms
Crystal system   cubic
DFT total energy   -48.137 eV/atom
ρ   10.4 g cm⁻³

=====

No. 3
A PBEsol-optimized structure of Ir4Os5. Source: Alexandria, functional SCAN.

Unit cell a=3.8257 b=6.0521 c=6.0521 alpha=84.27 beta=71.57 gamma=71.57
Atoms (fractional coordinates):
Ir: 0.3292 0.6708 0.6708
Ir: 0.6708 0.3292 0.3292
Ir: 0.0000 0.3292 0.6708
Ir: 0.0000 0.6708 0.3292
Os: 0.0000 0.0000 0.0000
Os: 0.6655 0.0000 0.6690
Os: 0.6655 0.6690 0.0000
Os: 0.3345 0.0000 0.3310
Os: 0.3345 0.3310 0.0000

## Properties
Energy relative to the elements   3.30 kJ per mole of atoms
Crystal system   tetragonal
DFT total energy   -71.499 eV/atom
ρ   22.6 g cm⁻³

=====

No. 4
A PBEsol-optimized structure of HgMo3. Source: Alexandria, functional SCAN.

Unit cell a=2.7537 b=2.7537 c=9.1335 alpha=90.00 beta=90.00 gamma=108.77
Atoms (fractional coordinates):
Mo: 0.0000 0.0000 0.5000
Mo: 0.5000 0.5000 0.7320
Mo: 0.5000 0.5000 0.2680
Hg: 0.0000 0.0000 0.0000

## Properties
Energy relative to the elements   29.77 kJ per mole of atoms
Crystal system   orthorhombic
ΔE to the lowest computed polymorph   0.0000 eV/atom
DFT total energy   -42.897 eV/atom
ρ   12.4 g cm⁻³

=====

No. 5
A PBEsol-optimized structure of RbTiPO5. Source: Alexandria, functional SCAN.

Unit cell a=6.5060 b=10.5734 c=12.9655 alpha=90.00 beta=90.00 gamma=90.00
Atoms (fractional coordinates):
O: 0.8127 0.9850 0.6127
O: 0.3127 0.4850 0.8873
O: 0.9824 0.3794 0.9864
O: 0.0524 0.6383 0.7772
O: 0.4824 0.8794 0.5136
O: 0.6938 0.5427 0.8873
O: 0.9578 0.3985 0.2489
O: 0.1962 0.7885 0.4045
O: 0.2981 0.7462 0.0981
O: 0.4578 0.8985 0.2511
O: 0.8038 0.2885 0.5955
O: 0.4606 0.6288 0.7487
O: 0.9635 0.1438 0.0134
O: 0.5406 0.3852 0.2797
O: 0.5422 0.3985 0.7489
O: 0.7019 0.2462 0.9019
O: 0.0365 0.6438 0.9866
O: 0.9594 0.3852 0.7797
O: 0.8062 0.5427 0.3873
O: 0.3038 0.7885 0.9045
O: 0.2019 0.7462 0.5981
O: 0.5524 0.1383 0.7228
O: 0.0422 0.8985 0.7511
O: 0.0394 0.6288 0.2487
O: 0.9476 0.1383 0.2228
O: 0.4635 0.6438 0.4866
O: 0.6962 0.2885 0.0955
O: 0.0406 0.8852 0.2203
O: 0.5176 0.3794 0.4864
O: 0.4476 0.6383 0.2772
O: 0.7981 0.2462 0.4019
O: 0.5394 0.1288 0.2513
O: 0.6873 0.9850 0.1127
O: 0.4594 0.8852 0.7203
O: 0.3062 0.0427 0.1127
O: 0.1938 0.0427 0.6127
O: 0.0176 0.8794 0.0136
O: 0.9606 0.1288 0.7513
O: 0.1873 0.4850 0.3873
O: 0.5365 0.1438 0.5134
Rb: 0.2812 0.2074 0.8808
Rb: 0.6914 0.9567 0.8927
Rb: 0.1914 0.4567 0.6073
Rb: 0.3086 0.4567 0.1073
Rb: 0.2188 0.2074 0.3808
Rb: 0.7188 0.7074 0.1192
Rb: 0.8086 0.9567 0.3927
Rb: 0.7812 0.7074 0.6192
P: 0.8358 0.2668 0.9996
P: 0.6642 0.2668 0.4996
P: 0.3358 0.7668 0.5004
P: 0.4970 0.0145 0.1796
P: 0.9970 0.5145 0.3204
P: 0.1642 0.7668 0.0004
P: 0.0030 0.0145 0.6796
P: 0.5030 0.5145 0.8204
Ti: 0.7612 0.2706 0.7464
Ti: 0.2388 0.7706 0.2536
Ti: 0.2612 0.7706 0.7536
Ti: 0.0013 0.0210 0.1282
Ti: 0.4987 0.0210 0.6282
Ti: 0.5013 0.5210 0.3718
Ti: 0.7388 0.2706 0.2464
Ti: 0.9987 0.5210 0.8718

## Properties
Crystal system   orthorhombic
E_form (uncorrected)   -2.884 eV/atom
DFT total energy   -12.675 eV/atom
ρ   3.6 g cm⁻³

=====

No. 6
A PBEsol-optimized structure of As2Ru. Source: Alexandria, functional SCAN.

Unit cell a=3.0617 b=6.1803 c=6.3625 alpha=119.05 beta=103.92 gamma=90.00
Atoms (fractional coordinates):
As: 0.8642 0.6706 0.7283
As: 0.1358 0.3294 0.2717
As: 0.5810 0.7720 0.1621
As: 0.4190 0.2280 0.8379
Ru: 0.7556 0.2037 0.5113
Ru: 0.2444 0.7963 0.4887

## Properties
Energy relative to the elements   -21.76 kJ per mole of atoms
Crystal system   monoclinic
DFT total energy   -25.295 eV/atom
ρ   8.2 g cm⁻³